A geometry-optimized B2MoBr2 structure. Source: Alexandria via LeMat-Bulk, functional PBE.

Lattice parameters (Å, degrees): 4.9361 4.9361 6.2074 90.00 90.00 90.00
Last column: nearest neighbours and their distance in Å.
Space group I4/mmm (No. 139)
Symmetry-distinct sites (fractional):
B: 0.0000 0.0000 0.1315 (multiplicity 4)  1 B 1.63
Mo: 0.0000 0.0000 0.5000 (multiplicity 2)  2 B 2.29
Br: 0.0000 0.5000 0.2500 (multiplicity 4)  4 B 2.58

Calculated values
formation energy (no corrections) = 1.26 eV/atom
total moment = 0.00 μB per atom